(1)
Computed, not measured: a geometry-optimized HfNiSe structure at the PBE-GGA level of DFT.

Unit cell a=9.904 b=9.904 c=9.904 alpha=23.08 beta=23.08 gamma=23.08
Fractional coordinates of all 6 atoms:
Hf 0.056 0.056 0.056
Hf 0.944 0.944 0.944
Ni 0.329 0.329 0.329
Ni 0.671 0.671 0.671
Se 0.228 0.228 0.228
Se 0.772 0.772 0.772

Output
Formation energy without anion corrections ... -0.782 eV/atom


(2)
Computed, not measured: a geometry-optimized HfNiSe3 structure at the PBE-GGA level of DFT.

Unit cell a=3.660 b=11.481 c=11.481 alpha=148.96 beta=90.00 gamma=90.00
Fractional coordinates of all 10 atoms:
Hf 0.250 0.166 0.834
Hf 0.750 0.834 0.166
Ni 0.250 0.222 0.474
Ni 0.750 0.474 0.222
Se 0.250 0.003 0.458
Se 0.250 0.304 0.168
Se 0.250 0.602 0.855
Se 0.750 0.168 0.304
Se 0.750 0.458 0.003
Se 0.750 0.855 0.602

Output
Formation energy without anion corrections ... -0.786 eV/atom


(3)
Computed, not measured: a geometry-optimized Hf2Tl3NiSe6 structure at the PBE-GGA level of DFT.

Unit cell a=6.604 b=6.604 c=8.388 alpha=97.50 beta=97.50 gamma=119.97
Fractional coordinates of all 12 atoms:
Hf 0.166 0.834 0.000
Hf 0.834 0.166 0.000
Tl 0.000 0.000 0.500
Tl 0.332 0.668 0.500
Tl 0.668 0.332 0.500
Ni 0.500 0.500 0.000
Se 0.115 0.439 0.815
Se 0.238 0.238 0.184
Se 0.439 0.115 0.815
Se 0.561 0.885 0.185
Se 0.762 0.762 0.816
Se 0.885 0.561 0.185

Output
Formation energy without anion corrections ... -0.760 eV/atom


(4)
Computed, not measured: a geometry-optimized HfTlNiSe3 structure at the PBE-GGA level of DFT.

Unit cell a=9.016 b=3.788 c=9.530 alpha=90.00 beta=113.86 gamma=90.00
Fractional coordinates of all 12 atoms:
Hf 0.193 0.250 0.167
Hf 0.807 0.750 0.833
Tl 0.278 0.750 0.756
Tl 0.722 0.250 0.244
Ni 0.411 0.750 0.403
Ni 0.589 0.250 0.597
Se 0.031 0.250 0.850
Se 0.295 0.250 0.470
Se 0.388 0.750 0.139
Se 0.612 0.250 0.861
Se 0.705 0.750 0.530
Se 0.969 0.750 0.150

Output
Formation energy without anion corrections ... -0.843 eV/atom


(5)
Computed, not measured: a geometry-optimized HfZr2NiSe structure at the PBE-GGA level of DFT.

Unit cell a=5.314 b=5.314 c=4.363 alpha=90.00 beta=90.00 gamma=90.00
Fractional coordinates of all 5 atoms:
Hf 0.000 0.000 0.000
Zr 0.000 0.500 0.000
Zr 0.500 0.000 0.000
Ni 0.000 0.000 0.500
Se 0.500 0.500 0.500

Output
Formation energy without anion corrections ... 0.905 eV/atom


(6)
Computed, not measured: a geometry-optimized Hf2SiNi3 structure at the PBE-GGA level of DFT.

Unit cell a=4.991 b=4.991 c=7.783 alpha=90.00 beta=90.00 gamma=120.00
Fractional coordinates of all 12 atoms:
Hf 0.333 0.667 0.053
Hf 0.333 0.667 0.447
Hf 0.667 0.333 0.553
Hf 0.667 0.333 0.947
Si 0.000 0.000 0.000
Si 0.000 0.000 0.500
Ni 0.168 0.335 0.750
Ni 0.168 0.832 0.750
Ni 0.335 0.168 0.250
Ni 0.665 0.832 0.750
Ni 0.832 0.168 0.250
Ni 0.832 0.665 0.250

Output
Formation energy without anion corrections ... -0.654 eV/atom


Density of states at the Fermi level? In order: 2.53; 4.60; 3.83; 3.62; 4.88; 6.18 states/eV/f.u..